No. 1
# Te2OsSI | the Alexandria database | PBE | relaxed
# Electronic total energy = -3.72 eV per atom
# DOS(E_F) = 7.3 states/eV per cell
# M_tot = 0.0 μB per formula unit
data_Te2OsSI
_cell_length_a 5.141
_cell_length_b 5.141
_cell_length_c 5.492
_cell_angle_alpha 90.00
_cell_angle_beta 90.00
_cell_angle_gamma 90.00
_symmetry_space_group_name_H-M 'P 4/m m m'
_symmetry_Int_Tables_number 123
_symmetry_space_group_name_Hall '-P 4 2'
loop_
_atom_site_label
_atom_site_type_symbol
_atom_site_fract_x
_atom_site_fract_y
_atom_site_fract_z
Te1 Te 0.000 0.500 0.000
Os1 Os 0.000 0.000 0.000
S1 S 0.500 0.500 0.500
I1 I 0.000 0.000 0.500


No. 2
# TeOsSI2 | the Alexandria database | PBE | relaxed
# Electronic total energy = -3.37 eV per atom
# DOS(E_F) = 6.8 states/eV per cell
# M_tot = 0.0 μB per formula unit
data_TeOsSI2
_cell_length_a 5.431
_cell_length_b 5.431
_cell_length_c 5.054
_cell_angle_alpha 90.00
_cell_angle_beta 90.00
_cell_angle_gamma 90.00
_symmetry_space_group_name_H-M 'P 4/m m m'
_symmetry_Int_Tables_number 123
_symmetry_space_group_name_Hall '-P 4 2'
loop_
_atom_site_label
_atom_site_type_symbol
_atom_site_fract_x
_atom_site_fract_y
_atom_site_fract_z
Te1 Te 0.000 0.000 0.000
Os1 Os 0.000 0.000 0.500
S1 S 0.500 0.500 0.000
I1 I 0.000 0.500 0.500


No. 3
# TeOsSI2 | the Alexandria database | PBE | relaxed
# Electronic total energy = -2.68 eV per atom
# DOS(E_F) = 7.8 states/eV per cell
# M_tot = 4.3 μB per formula unit
data_TeOsSI2
_cell_length_a 5.440
_cell_length_b 5.440
_cell_length_c 5.325
_cell_angle_alpha 90.00
_cell_angle_beta 90.00
_cell_angle_gamma 90.00
_symmetry_space_group_name_H-M 'P 4/m m m'
_symmetry_Int_Tables_number 123
_symmetry_space_group_name_Hall '-P 4 2'
loop_
_atom_site_label
_atom_site_type_symbol
_atom_site_fract_x
_atom_site_fract_y
_atom_site_fract_z
Te1 Te 0.000 0.000 0.000
Os1 Os 0.500 0.500 0.000
S1 S 0.000 0.000 0.500
I1 I 0.000 0.500 0.500


No. 4
# Te2OsSI | the Alexandria database | PBE | relaxed
# Electronic total energy = -3.04 eV per atom
# DOS(E_F) = 6.1 states/eV per cell
# M_tot = 4.1 μB per formula unit
data_Te2OsSI
_cell_length_a 5.213
_cell_length_b 5.213
_cell_length_c 5.408
_cell_angle_alpha 90.00
_cell_angle_beta 90.00
_cell_angle_gamma 90.00
_symmetry_space_group_name_H-M 'P 4/m m m'
_symmetry_Int_Tables_number 123
_symmetry_space_group_name_Hall '-P 4 2'
loop_
_atom_site_label
_atom_site_type_symbol
_atom_site_fract_x
_atom_site_fract_y
_atom_site_fract_z
Te1 Te 0.000 0.500 0.000
Os1 Os 0.000 0.000 0.500
S1 S 0.500 0.500 0.000
I1 I 0.500 0.500 0.500


No. 5
# TeOs2SI | the Alexandria database | PBE | relaxed
# Electronic total energy = -4.90 eV per atom
# DOS(E_F) = 4.4 states/eV per cell
# M_tot = 2.4 μB per formula unit
data_TeOs2SI
_cell_length_a 4.339
_cell_length_b 4.339
_cell_length_c 7.560
_cell_angle_alpha 90.00
_cell_angle_beta 90.00
_cell_angle_gamma 90.00
_symmetry_space_group_name_H-M 'P 4/m m m'
_symmetry_Int_Tables_number 123
_symmetry_space_group_name_Hall '-P 4 2'
loop_
_atom_site_label
_atom_site_type_symbol
_atom_site_fract_x
_atom_site_fract_y
_atom_site_fract_z
Te1 Te 0.000 0.000 0.000
Os1 Os 0.000 0.500 0.500
S1 S 0.500 0.500 0.500
I1 I 0.500 0.500 0.000


No. 6
# SbOs3I | the Alexandria database | PBE | relaxed
# Electronic total energy = -5.30 eV per atom
# DOS(E_F) = 6.0 states/eV per cell
# M_tot = 4.2 μB per formula unit
data_SbOs3I
_cell_length_a 4.948
_cell_length_b 4.948
_cell_length_c 4.948
_cell_angle_alpha 90.00
_cell_angle_beta 90.00
_cell_angle_gamma 90.00
_symmetry_space_group_name_H-M 'P m -3 m'
_symmetry_Int_Tables_number 221
_symmetry_space_group_name_Hall '-P 4 2 3'
loop_
_atom_site_label
_atom_site_type_symbol
_atom_site_fract_x
_atom_site_fract_y
_atom_site_fract_z
Sb1 Sb 0.000 0.000 0.000
Os1 Os 0.000 0.000 0.500
I1 I 0.500 0.500 0.500